Entry 1:
# La2YSnH (PBE, relaxed)
# calculated volume: 124.0 Å³ per cell
# DOS at the Fermi energy: 5.3 states/eV/cell
# raw total energy: -0.1929 hartree per atom
data_La2YSnH
_cell_length_a 4.933
_cell_length_b 4.933
_cell_length_c 5.095
_cell_angle_alpha 90.00
_cell_angle_beta 90.00
_cell_angle_gamma 90.00
_space_group_name_H-M_alt 'P 4/m m m'
_space_group_IT_number 123
_space_group_name_Hall '-P 4 2'
loop_
_atom_site_label
_atom_site_type_symbol
_atom_site_fract_x
_atom_site_fract_y
_atom_site_fract_z
La1 La 0.000 0.500 0.000
Y1 Y 0.000 0.000 0.500
Sn1 Sn 0.500 0.500 0.500
H1 H 0.000 0.000 0.000

Entry 2:
# BaMg3Cd2 (PBE, relaxed)
# calculated volume: 507.2 Å³ per cell
# DOS at the Fermi energy: 11.2 states/eV/cell
# raw total energy: -0.0593 hartree per atom
data_BaMg3Cd2
_cell_length_a 10.8974
_cell_length_b 10.8974
_cell_length_c 4.9322
_cell_angle_alpha 90.00
_cell_angle_beta 90.00
_cell_angle_gamma 120.00
_space_group_name_H-M_alt 'P 6/m m m'
_space_group_IT_number 191
_space_group_name_Hall '-P 6 2'
loop_
_atom_site_label
_atom_site_type_symbol
_atom_site_fract_x
_atom_site_fract_y
_atom_site_fract_z
Ba1 Ba 0.0000 0.0000 0.0000
Ba2 Ba 0.3333 0.6667 0.5000
Mg1 Mg 0.0000 0.3001 0.5000
Mg2 Mg 0.0000 0.5000 0.0000
Cd1 Cd 0.1897 0.3795 0.0000

Entry 3:
# Tl9CdBi2 (PBE, relaxed)
# calculated volume: 372.6 Å³ per cell
# DOS at the Fermi energy: 5.1 states/eV/cell
# raw total energy: -0.0919 hartree per atom
data_Tl9CdBi2
_cell_length_a 4.991
_cell_length_b 4.991
_cell_length_c 14.958
_cell_angle_alpha 90.00
_cell_angle_beta 90.00
_cell_angle_gamma 90.00
_space_group_name_H-M_alt 'P 4/m m m'
_space_group_IT_number 123
_space_group_name_Hall '-P 4 2'
loop_
_atom_site_label
_atom_site_type_symbol
_atom_site_fract_x
_atom_site_fract_y
_atom_site_fract_z
Tl1 Tl 0.000 0.000 0.000
Tl2 Tl 0.000 0.000 0.338
Tl3 Tl 0.000 0.500 0.168
Tl4 Tl 0.000 0.500 0.500
Cd1 Cd 0.500 0.500 0.000
Bi1 Bi 0.500 0.500 0.329